! Li7Hg2Pd | the Alexandria database | PBE | optimized geometry; values from VASP
&SYSTEM
  ibrav = 0, nat = 10, ntyp = 3
/
ATOMIC_SPECIES
Li 6.94 Li.upf
Hg 200.59 Hg.upf
Pd 106.42 Pd.upf
CELL_PARAMETERS angstrom
4.4576 0.0000 0.0000
-2.2288 3.8604 0.0000
0.0000 0.0000 10.1632
ATOMIC_POSITIONS angstrom
Li 0.0000 2.5736 3.9509
Li 0.0000 2.5736 1.4094
Li 0.0000 0.0000 3.3670
Li 0.0000 0.0000 7.8453
Li 2.2288 1.2868 5.5014
Li 2.2288 1.2868 9.7782
Li 0.0000 2.5736 9.2196
Hg 2.2288 1.2868 2.4087
Hg 0.0000 2.5736 6.5996
Pd 0.0000 0.0000 0.5678
! Crystal system: trigonal
! Uncorrected energy, eV/f.u.: -21.55
! ΔE to the lowest computed polymorph, eV per atom: 0.0000
! Space group: P3m1, No. 156
! Formation enthalpy at 0 K, eV per atom: -0.236


! La2DyEr6 | the Alexandria database | PBE | optimized geometry; values from VASP
&SYSTEM
  ibrav = 0, nat = 18, ntyp = 3
/
ATOMIC_SPECIES
La 138.91 La.upf
Dy 162.50 Dy.upf
Er 167.26 Er.upf
CELL_PARAMETERS angstrom
-1.1171 -4.8604 0.9836
0.3264 -2.1883 -10.4429
10.4083 -2.2326 0.7932
ATOMIC_POSITIONS angstrom
La 8.7922 -2.5936 -2.8266
La 6.6426 -5.7415 -7.6900
La 2.9750 -3.5398 -0.9760
La 0.8254 -6.6877 -5.8395
Dy -0.3954 -3.5244 -4.7296
Dy 5.2042 -1.1163 0.3966
Er 0.5971 -5.2316 1.0970
Er 4.3187 -7.4342 -5.5592
Er 7.7639 -8.1791 -5.3256
Er 6.4447 -4.2871 -0.7270
Er 9.8886 -5.0200 -0.4353
Er 3.0960 -4.2767 -4.4806
Er 9.0205 -4.0497 -9.7630
Er 5.2989 -1.8471 -3.1068
Er 1.8537 -1.1022 -3.3405
Er 3.1729 -4.9942 -7.9391
Er -0.2710 -4.2613 -8.2307
Er 6.5216 -5.0046 -4.1854
! Crystal system: tetragonal
! Uncorrected energy, eV/f.u.: -41.50
! ΔE to the lowest computed polymorph, eV per atom: 0.0000
! Space group: P4_2/mnm, No. 136
! Formation enthalpy at 0 K, eV per atom: 0.037


! PrTlCdHg | the Alexandria database | PBE | optimized geometry; values from VASP
&SYSTEM
  ibrav = 0, nat = 4, ntyp = 4
/
ATOMIC_SPECIES
Pr 140.91 Pr.upf
Tl 204.38 Tl.upf
Hg 200.59 Hg.upf
Cd 112.41 Cd.upf
CELL_PARAMETERS angstrom
-4.3747 -2.6218 1.4453
0.0719 -5.2894 0.3439
-0.2350 -2.3511 4.7453
ATOMIC_POSITIONS angstrom
Pr 0.0000 0.0000 0.0000
Tl -3.4033 -7.6967 4.9008
Hg -1.1344 -2.5656 1.6336
Cd -2.2689 -5.1311 3.2672
! Crystal system: cubic
! Uncorrected energy, eV/f.u.: -9.63
! Space group: F-43m, No. 216
! Formation enthalpy at 0 K, eV per atom: -0.317


! Ba2LiLa | the Alexandria database | PBE | optimized geometry; values from VASP
&SYSTEM
  ibrav = 0, nat = 4, ntyp = 3
/
ATOMIC_SPECIES
Ba 137.33 Ba.upf
La 138.91 La.upf
Li 6.94 Li.upf
CELL_PARAMETERS angstrom
12.8901 -0.0096 -0.0056
12.2565 3.9915 -0.0056
12.2565 1.9408 3.4879
ATOMIC_POSITIONS angstrom
Ba 0.4034 0.0639 0.0375
Ba 9.1294 1.4456 0.8486
La 18.3465 2.9052 1.7054
Li 28.2255 4.4695 2.6236
! Crystal system: trigonal
! Uncorrected energy, eV/f.u.: -9.86
! ΔE to the lowest computed polymorph, eV per atom: 0.0777
! Space group: R3m, No. 160
! Formation enthalpy at 0 K, eV per atom: 0.207


! LiCrCl2 | the Alexandria database | PBE | optimized geometry; values from VASP
&SYSTEM
  ibrav = 0, nat = 4, ntyp = 3
/
ATOMIC_SPECIES
Cl 35.45 Cl.upf
Cr 52.00 Cr.upf
Li 6.94 Li.upf
CELL_PARAMETERS angstrom
-3.8361 -3.2656 -4.3545
-0.4000 -3.5646 -5.6103
0.4489 -3.0840 1.9626
ATOMIC_POSITIONS angstrom
Cl -0.0185 -0.4927 0.0666
Cl -2.8348 -6.9637 -6.0989
Cr -1.9578 -5.5250 -4.0417
Li -0.8695 -1.8900 -1.9293
! Crystal system: monoclinic
! Uncorrected energy, eV/f.u.: -18.62
! Formation energy (no corrections), eV/atom: -0.848
! ΔE to the lowest computed polymorph, eV per atom: 0.1819
! Space group: Cm, No. 8